Entry 1:
Entry from the Alexandria database: a geometry-optimized PmDySO2 structure (PBE).

- magnetic moment (μB/f.u.) = 0.0
- energy (eV per cell) = -77.73

a b c (Å): 6.4342 4.0427 7.6108
angles (deg): 90.00 108.33 90.00
Last column: nearest neighbours and their distance in Å.
Positions (direct):
Pm: 0.1944 0.2500 0.4294  4 O 2.29-2.36
Pm: 0.8056 0.7500 0.5706  4 O 2.29-2.36
Dy: 0.1825 0.2500 0.9227  4 O 2.21-2.26
Dy: 0.8175 0.7500 0.0773  4 O 2.21-2.26
S: 0.4557 0.7500 0.7432  1 Dy 2.86, 3 Pm 2.94-3.18
S: 0.5443 0.2500 0.2568  1 Dy 2.86, 3 Pm 2.94-3.18
O: 0.0180 0.7500 0.3728  1 Dy 2.21, 3 Pm 2.29-2.33
O: 0.0178 0.7500 0.8865  3 Dy 2.22-2.26, 1 Pm 2.36
O: 0.9822 0.2500 0.1135  3 Dy 2.22-2.26, 1 Pm 2.36
O: 0.9820 0.2500 0.6272  1 Dy 2.21, 3 Pm 2.29-2.33

***

Entry 2:
Entry from the Alexandria database: a geometry-optimized PmDyS2O8 structure (PBE).

- magnetic moment (μB/f.u.) = 0.0
- energy (eV per cell) = -79.37

a b c (Å): 5.6881 5.6881 6.4138
angles (deg): 90.00 90.00 120.00
Last column: nearest neighbours and their distance in Å.
Positions (direct):
Pm: 0.0000 0.0000 0.0000  6 O 2.56
Dy: 0.0000 0.0000 0.5000  6 O 2.34
S: 0.3333 0.6667 0.1988  4 O 1.46-1.52
S: 0.6667 0.3333 0.8012  4 O 1.46-1.52
O: 0.1877 0.3753 0.2761  1 S 1.52
O: 0.1877 0.8123 0.2761  1 S 1.52
O: 0.3333 0.6667 0.9710  1 S 1.46
O: 0.3753 0.1877 0.7239  1 S 1.52
O: 0.6247 0.8123 0.2761  1 S 1.52
O: 0.6667 0.3333 0.0290  1 S 1.46
O: 0.8123 0.1877 0.7239  1 S 1.52
O: 0.8123 0.6247 0.7239  1 S 1.52

***

Entry 3:
Entry from the Alexandria database: a geometry-optimized PmDySbO2 structure (PBE).

- magnetic moment (μB/f.u.) = 0.0
- energy (eV per cell) = -36.73

a b c (Å): 7.3207 7.3207 7.3207
angles (deg): 149.02 149.02 44.38
Last column: nearest neighbours and their distance in Å.
Positions (direct):
Pm: 0.0000 0.0000 0.0000  4 O 2.31
Dy: 0.3298 0.3298 0.0000  4 O 2.24
Sb: 0.6661 0.6661 0.0000  4 Dy 3.55, 4 Pm 3.57, 4 O 3.84, 4 Sb 3.91
O: 0.4099 0.9099 0.5000  2 Dy 2.24, 2 Pm 2.31
O: 0.9099 0.4099 0.5000  2 Dy 2.24, 2 Pm 2.31

***

Entry 4:
Entry from the Alexandria database: a geometry-optimized Pm2DyScO6 structure (PBE).

- magnetic moment (μB/f.u.) = 0.0
- energy (eV per cell) = -84.63

a b c (Å): 5.9974 5.9974 5.9974
angles (deg): 58.07 58.07 58.07
Last column: nearest neighbours and their distance in Å.
Positions (direct):
Pm: 0.0000 0.0000 0.0000  6 O 2.32-2.48
Pm: 0.4985 0.4985 0.4985  6 O 2.34-2.46
Dy: 0.2229 0.2229 0.2229  6 O 2.22-2.34
Sc: 0.7192 0.7192 0.7192  6 O 2.12-2.20
O: 0.0748 0.4371 0.8420  1 Sc 2.12, 1 Pm 2.34, 1 Dy 2.34
O: 0.3531 0.9174 0.5939  1 Sc 2.20, 1 Dy 2.22, 1 Pm 2.32
O: 0.4371 0.8420 0.0748  1 Sc 2.12, 1 Pm 2.34, 1 Dy 2.34
O: 0.5939 0.3531 0.9174  1 Sc 2.20, 1 Dy 2.22, 1 Pm 2.32
O: 0.8420 0.0748 0.4371  1 Sc 2.12, 1 Pm 2.34, 1 Dy 2.34
O: 0.9174 0.5939 0.3531  1 Sc 2.20, 1 Dy 2.22, 1 Pm 2.32

***

Entry 5:
Entry from the Alexandria database: a geometry-optimized PmDySe2O8 structure (PBE).

- magnetic moment (μB/f.u.) = 0.0
- energy (eV per cell) = -77.64

a b c (Å): 6.8288 6.8288 6.8288
angles (deg): 135.02 135.02 65.50
Last column: nearest neighbours and their distance in Å.
Positions (direct):
Pm: 0.0000 0.0000 0.0000  8 O 2.36-2.57
Dy: 0.2500 0.7500 0.5000  8 O 2.34-2.46
Se: 0.5000 0.5000 0.0000  4 O 1.95
Se: 0.7500 0.2500 0.5000  4 O 1.69
O: 0.2573 0.6922 0.1239  1 Se 1.95
O: 0.3078 0.4317 0.5651  1 Se 1.95
O: 0.4446 0.0194 0.1174  1 Se 1.69
O: 0.5683 0.1334 0.8761  1 Se 1.95
O: 0.6729 0.5554 0.5749  1 Se 1.69
O: 0.8666 0.7427 0.4349  1 Se 1.95
O: 0.9020 0.3271 0.8826  1 Se 1.69
O: 0.9806 0.0980 0.4251  1 Se 1.69

***

Entry 6:
Entry from the Alexandria database: a geometry-optimized PmDySe2O structure (PBE).

- magnetic moment (μB/f.u.) = 0.0
- energy (eV per cell) = -66.51

a b c (Å): 4.0324 4.0324 14.6031
angles (deg): 90.00 90.00 90.00
Last column: nearest neighbours and their distance in Å.
Positions (direct):
Pm: 0.2500 0.2500 0.0801  4 O 2.33
Pm: 0.7500 0.7500 0.9199  4 O 2.33
Dy: 0.2500 0.2500 0.6252  5 Se 2.63-2.90
Dy: 0.7500 0.7500 0.3748  5 Se 2.63-2.90
Se: 0.2500 0.2500 0.4111  5 Dy 2.90-3.13
Se: 0.2500 0.2500 0.8052  1 Dy 2.63
Se: 0.7500 0.7500 0.1948  1 Dy 2.63
Se: 0.7500 0.7500 0.5889  5 Dy 2.90-3.13
O: 0.2500 0.7500 0.0000  4 Pm 2.33
O: 0.7500 0.2500 0.0000  4 Pm 2.33

***

Entry 7:
Entry from the Alexandria database: a geometry-optimized PmDy2TaO8 structure (PBE).

- magnetic moment (μB/f.u.) = 2.0
- energy (eV per cell) = -100.07

a b c (Å): 5.0831 6.9953 5.0871
angles (deg): 90.00 90.42 90.00
Last column: nearest neighbours and their distance in Å.
Positions (direct):
Pm: 0.0000 0.0000 0.0000  6 O 2.26-2.42
Dy: 0.5000 0.2557 0.5000  6 O 2.22-2.32
Dy: 0.5000 0.7443 0.5000  6 O 2.22-2.32
Ta: 0.0000 0.5000 0.0000  6 O 2.01
O: 0.1855 0.2872 0.8130  1 Ta 2.01
O: 0.1855 0.7128 0.8130  1 Ta 2.01
O: 0.2814 0.5000 0.2796  1 Ta 2.01
O: 0.3168 0.0000 0.3147  2 Dy 2.22, 1 Pm 2.26
O: 0.6832 0.0000 0.6853  2 Dy 2.22, 1 Pm 2.26
O: 0.7186 0.5000 0.7204  1 Ta 2.01
O: 0.8145 0.2872 0.1870  1 Ta 2.01
O: 0.8145 0.7128 0.1870  1 Ta 2.01

***

Entry 8:
Entry from the Alexandria database: a geometry-optimized PmDy2TcO8 structure (PBE).

- magnetic moment (μB/f.u.) = 0.0
- energy (eV per cell) = -95.29

a b c (Å): 5.0736 5.0736 6.8258
angles (deg): 90.00 90.00 90.05
Last column: nearest neighbours and their distance in Å.
Positions (direct):
Pm: 0.0000 0.0000 0.0000  6 O 2.25-2.42
Dy: 0.5000 0.5000 0.2495  6 O 2.17-2.40
Dy: 0.5000 0.5000 0.7505  6 O 2.17-2.40
Tc: 0.0000 0.0000 0.5000  6 O 1.91
O: 0.1835 0.1835 0.2968  1 Tc 1.91
O: 0.1835 0.1835 0.7032  1 Tc 1.91
O: 0.2657 0.7343 0.5000  1 Tc 1.91
O: 0.3135 0.6865 0.0000  2 Dy 2.17, 1 Pm 2.25
O: 0.6865 0.3135 0.0000  2 Dy 2.17, 1 Pm 2.25
O: 0.7343 0.2657 0.5000  1 Tc 1.91
O: 0.8165 0.8165 0.2968  1 Tc 1.91
O: 0.8165 0.8165 0.7032  1 Tc 1.91

***

Entry 9:
Entry from the Alexandria database: a geometry-optimized PmDyTe2O8 structure (PBE).

- magnetic moment (μB/f.u.) = 0.0
- energy (eV per cell) = -78.53

a b c (Å): 6.3030 6.3030 6.3030
angles (deg): 107.43 107.43 113.63
Last column: nearest neighbours and their distance in Å.
Positions (direct):
Pm: 0.0000 0.0000 0.0000  8 O 2.40-2.51
Dy: 0.7500 0.2500 0.5000  8 O 2.35-2.47
Te: 0.2500 0.7500 0.5000  4 O 1.93
Te: 0.5000 0.5000 0.0000  4 O 1.97
O: 0.0503 0.3690 0.3187  1 Te 1.93
O: 0.0503 0.7316 0.6813  1 Te 1.93
O: 0.1124 0.3009 0.8115  1 Te 1.97
O: 0.2684 0.9497 0.3187  1 Te 1.93
O: 0.4893 0.3009 0.1885  1 Te 1.97
O: 0.6310 0.9497 0.6813  1 Te 1.93
O: 0.6991 0.5107 0.8115  1 Te 1.97
O: 0.6991 0.8876 0.1885  1 Te 1.97

***

Entry 10:
Entry from the Alexandria database: a geometry-optimized PmDyTeO2 structure (PBE).

- magnetic moment (μB/f.u.) = 0.0
- energy (eV per cell) = -74.23

a b c (Å): 6.9032 4.1310 7.8832
angles (deg): 90.00 106.93 90.00
Last column: nearest neighbours and their distance in Å.
Positions (direct):
Pm: 0.1757 0.2500 0.4238  4 O 2.32-2.38
Pm: 0.8243 0.7500 0.5762  4 O 2.32-2.38
Dy: 0.1584 0.2500 0.9123  4 O 2.23-2.29
Dy: 0.8416 0.7500 0.0877  4 O 2.23-2.29
Te: 0.4509 0.7500 0.7476  3 Dy 3.20-3.40, 3 Pm 3.24-3.40, 2 O 3.52-3.54
Te: 0.5491 0.2500 0.2524  3 Dy 3.20-3.40, 3 Pm 3.24-3.40, 2 O 3.52-3.54
O: 0.0082 0.7500 0.8829  3 Dy 2.24-2.29, 1 Pm 2.38
O: 0.0171 0.7500 0.3734  1 Dy 2.23, 3 Pm 2.32-2.36
O: 0.9829 0.2500 0.6266  1 Dy 2.23, 3 Pm 2.32-2.36
O: 0.9918 0.2500 0.1171  3 Dy 2.24-2.29, 1 Pm 2.38

***

Entry 11:
Entry from the Alexandria database: a geometry-optimized Pm2DyTeO8 structure (PBE).

- magnetic moment (μB/f.u.) = 0.9
- energy (eV per cell) = -86.15

a b c (Å): 5.1570 5.1570 6.9650
angles (deg): 90.00 90.00 91.04
Last column: nearest neighbours and their distance in Å.
Positions (direct):
Pm: 0.0000 0.0000 0.2491  6 O 2.25-2.41
Pm: 0.0000 0.0000 0.7509  6 O 2.25-2.41
Dy: 0.5000 0.5000 0.5000  6 O 2.19-2.40
Te: 0.5000 0.5000 0.0000  6 O 1.94-1.97
O: 0.1966 0.1966 0.5000  1 Dy 2.19, 2 Pm 2.25
O: 0.2321 0.2321 0.0000  1 Te 1.94
O: 0.3221 0.6779 0.2108  1 Te 1.97
O: 0.3221 0.6779 0.7892  1 Te 1.97
O: 0.6779 0.3221 0.2108  1 Te 1.97
O: 0.6779 0.3221 0.7892  1 Te 1.97
O: 0.7679 0.7679 0.0000  1 Te 1.94
O: 0.8034 0.8034 0.5000  1 Dy 2.19, 2 Pm 2.25

***

Entry 12:
Entry from the Alexandria database: a geometry-optimized Pm3DyTl2O structure (PBE).

- magnetic moment (μB/f.u.) = 0.0
- energy (eV per cell) = -35.94

a b c (Å): 9.0445 9.0445 9.0445
angles (deg): 150.03 149.22 43.50
Last column: nearest neighbours and their distance in Å.
Positions (direct):
Pm: 0.0000 0.0000 0.0000  2 O 2.40
Pm: 0.3284 0.8284 0.5000  1 O 2.88, 1 Tl 3.19
Pm: 0.6716 0.1716 0.5000  1 O 2.88, 1 Tl 3.19
Dy: 0.5000 0.5000 0.0000  2 O 2.34
Tl: 0.1383 0.6383 0.5000  7 Pm 3.19-3.40, 2 Dy 3.34
Tl: 0.8617 0.3617 0.5000  7 Pm 3.19-3.40, 2 Dy 3.34
O: 0.5000 0.0000 0.5000  2 Dy 2.34, 2 Pm 2.40